First-principles (GGA-PBE) data for a relaxed structure of Zr2UTe, as listed in Alexandria via LeMat-Bulk.

Values from the calculation:
raw formation energy = 0.3038 eV per atom
calculated density = 9.46 g/cm³
total energy = -7.58 eV per atom

CIF file:
```
data_Zr2UTe
_space_group_name_H-M_alt 'R -3 m'
_space_group_IT_number 166
_space_group_name_Hall '-R 3 2"'
_cell_length_a 3.2237
_cell_length_b 3.2237
_cell_length_c 32.0671
_cell_angle_alpha 90.00
_cell_angle_beta 90.00
_cell_angle_gamma 120.00
loop_
_atom_site_label
_atom_site_type_symbol
_atom_site_fract_x
_atom_site_fract_y
_atom_site_fract_z
Zr1 Zr 0.0000 0.0000 0.0935
U1 U 0.0000 0.0000 0.0000
Te1 Te 0.0000 0.0000 0.5000
```

First-principles (GGA-PBE) data for a relaxed structure of Tl2PbAu, as listed in Alexandria via LeMat-Bulk.

Values from the calculation:
energy relative to the elements = 0.30 eV/f.u.
calculated density = 12.34 g/cm³
total energy = -2.85 eV per atom

CIF file:
```
data_Tl2PbAu
_space_group_name_H-M_alt 'F -4 3 m'
_space_group_IT_number 216
_space_group_name_Hall 'F -4 2 3'
_cell_length_a 7.592
_cell_length_b 7.592
_cell_length_c 7.592
_cell_angle_alpha 90.00
_cell_angle_beta 90.00
_cell_angle_gamma 90.00
loop_
_atom_site_label
_atom_site_type_symbol
_atom_site_fract_x
_atom_site_fract_y
_atom_site_fract_z
Tl1 Tl 0.000 0.000 0.000
Tl2 Tl 0.250 0.250 0.250
Pb1 Pb 0.000 0.000 0.500
Au1 Au 0.250 0.250 0.750
```

First-principles (GGA-PBE) data for a relaxed structure of TiTlAgPd, as listed in Alexandria via LeMat-Bulk.

Values from the calculation:
energy relative to the elements = -0.30 eV/f.u.
calculated density = 10.75 g/cm³
total energy = -4.65 eV per atom

CIF file:
```
data_TiTlAgPd
_space_group_name_H-M_alt 'F -4 3 m'
_space_group_IT_number 216
_space_group_name_Hall 'F -4 2 3'
_cell_length_a 6.606
_cell_length_b 6.606
_cell_length_c 6.606
_cell_angle_alpha 90.00
_cell_angle_beta 90.00
_cell_angle_gamma 90.00
loop_
_atom_site_label
_atom_site_type_symbol
_atom_site_fract_x
_atom_site_fract_y
_atom_site_fract_z
Ti1 Ti 0.000 0.000 0.000
Tl1 Tl 0.000 0.000 0.500
Ag1 Ag 0.250 0.250 0.750
Pd1 Pd 0.250 0.250 0.250
```

First-principles (GGA-PBE) data for a relaxed structure of Hf3Nb2Ge4, as listed in Alexandria via LeMat-Bulk.

Values from the calculation:
energy relative to the elements = -5.98 eV/f.u.
calculated density = 10.39 g/cm³
total energy = -8.27 eV per atom

CIF file:
```
data_Hf3Nb2Ge4
_space_group_name_H-M_alt 'P n m a'
_space_group_IT_number 62
_cell_length_a 6.909
_cell_length_b 13.323
_cell_length_c 7.026
_cell_angle_alpha 90.00
_cell_angle_beta 90.00
_cell_angle_gamma 90.00
loop_
_space_group_symop_operation_xyz
'x,y,z'
'-x,-y,-z'
'-x+1/2,-y,z+1/2'
'x+1/2,y,-z+1/2'
'x+1/2,-y+1/2,-z+1/2'
'-x+1/2,y+1/2,z+1/2'
'-x,y+1/2,-z'
'x,-y+1/2,z'
loop_
_atom_site_label
_atom_site_type_symbol
_atom_site_fract_x
_atom_site_fract_y
_atom_site_fract_z
Hf1 Hf 0.012 0.093 0.174
Hf2 Hf 0.170 0.250 0.507
Nb1 Nb 0.157 0.623 0.329
Ge1 Ge 0.045 0.250 0.885
Ge2 Ge 0.184 0.038 0.536
Ge3 Ge 0.192 0.750 0.645
```